(1)
The following is a DFT calculation (GGA-PBE) of a relaxed Sr8CdNi2 crystal.

a b c (Å): 6.318 9.699 9.705
angles (deg): 60.03 89.99 90.00
Element x y z (fractional)
Sr: 0.242 0.167 0.166
Sr: 0.257 0.162 0.667
Sr: 0.257 0.667 0.670
Sr: 0.257 0.670 0.163
Sr: 0.743 0.330 0.837
Sr: 0.743 0.333 0.330
Sr: 0.743 0.838 0.333
Sr: 0.758 0.833 0.834
Cd: 0.000 0.500 0.500
Ni: 0.257 0.833 0.834
Ni: 0.743 0.167 0.166

Results
Formation energy from the elements in eV per atom: 0.14

(2)
The following is a DFT calculation (GGA-PBE) of a relaxed Sr2CdNi crystal.

a b c (Å): 5.422 5.422 3.929
angles (deg): 90.00 90.00 90.00
Element x y z (fractional)
Sr: 0.000 0.500 0.000
Sr: 0.500 0.000 0.000
Cd: 0.000 0.000 0.500
Ni: 0.500 0.500 0.500

Results
Formation energy from the elements in eV per atom: 0.00

(3)
The following is a DFT calculation (GGA-PBE) of a relaxed Sr2CdNi crystal.

a b c (Å): 4.534 6.344 6.344
angles (deg): 42.82 90.00 90.00
Element x y z (fractional)
Sr: 0.000 0.000 0.000
Sr: 0.500 0.284 0.284
Cd: 0.000 0.700 0.700
Ni: 0.500 0.582 0.582

Results
Formation energy from the elements in eV per atom: -0.12

(4)
The following is a DFT calculation (GGA-PBE) of a relaxed SrCd2Ni crystal.

a b c (Å): 5.601 5.601 5.601
angles (deg): 132.87 132.87 68.86
Element x y z (fractional)
Sr: 0.000 0.000 0.000
Cd: 0.250 0.750 0.500
Cd: 0.750 0.250 0.500
Ni: 0.500 0.500 0.000

Results
Formation energy from the elements in eV per atom: 0.06

(5)
The following is a DFT calculation (GGA-PBE) of a relaxed SrCd2Ni crystal.

a b c (Å): 4.988 4.444 5.032
angles (deg): 90.00 112.17 90.00
Element x y z (fractional)
Sr: 0.000 0.000 0.000
Cd: 0.326 0.500 0.675
Cd: 0.674 0.500 0.325
Ni: 0.500 0.000 0.500

Results
Formation energy from the elements in eV per atom: -0.03

(6)
The following is a DFT calculation (GGA-PBE) of a relaxed Sr4CdNi crystal.

a b c (Å): 7.046 7.046 7.046
angles (deg): 60.00 60.00 60.00
Element x y z (fractional)
Sr: 0.125 0.125 0.125
Sr: 0.125 0.125 0.624
Sr: 0.125 0.624 0.125
Sr: 0.624 0.125 0.125
Cd: 0.750 0.750 0.750
Ni: 0.500 0.500 0.500

Results
Formation energy from the elements in eV per atom: 0.76